[1]
Here is crystalline Co3IN at its relaxed geometry from Alexandria. Energies are from PBE.

a b c (Å): 4.705 4.705 4.705
angles (deg): 90.00 90.00 90.00
Each line ends with the local moment (μB).
Sites, in units of the cell vectors:
Co 0.500 0.000 0.000  1.81
Co 0.000 0.000 0.500  1.52
Co 0.000 0.500 0.000  1.81
I 0.000 0.000 0.000  0.01
N 0.500 0.500 0.500  1.43

Calculated values
The total magnetization is 7.000 μB/f.u. Its total DFT energy (no corrections) is -3.891 eV per atom. As for the formation energy from raw total energies: 2.35 eV per atom. The value obtained for the density of states at the Fermi level is 2.65 states/eV per atom.


[2]
Here is crystalline CoIN3 at its relaxed geometry from Alexandria. Energies are from PBE.

a b c (Å): 3.770 3.770 3.770
angles (deg): 90.00 90.00 90.00
Sites, in units of the cell vectors:
I 0.500 0.500 0.500
N 0.000 0.500 0.000
N 0.500 0.000 0.000
N 0.000 0.000 0.500
Co 0.000 0.000 0.000

Calculated values
The total magnetization is 0.007 μB/f.u. Its total DFT energy (no corrections) is -4.975 eV per atom. As for the formation energy from raw total energies: 1.75 eV per atom. The value obtained for the density of states at the Fermi level is 1.18 states/eV per atom.


[3]
Here is crystalline NaCoIN2 at its relaxed geometry from Alexandria. Energies are from PBE.

a b c (Å): 4.348 4.348 6.025
angles (deg): 90.00 90.00 90.00
Each line ends with the local moment (μB).
Sites, in units of the cell vectors:
N 0.000 0.500 0.000  1.58
N 0.500 0.000 0.000  1.58
Co 0.500 0.500 0.500  2.09
Na 0.000 0.000 0.000  0.03
I 0.000 0.000 0.500  0.11

Calculated values
The total magnetization is 7.067 μB/f.u. Its total DFT energy (no corrections) is -3.190 eV per atom. As for the formation energy from raw total energies: 2.14 eV per atom. The value obtained for the density of states at the Fermi level is 1.11 states/eV per atom.


[4]
Here is crystalline NaCoIN2 at its relaxed geometry from Alexandria. Energies are from PBE.

a b c (Å): 3.776 3.776 6.161
angles (deg): 90.00 90.00 90.00
Each line ends with the local moment (μB).
Sites, in units of the cell vectors:
I 0.000 0.000 0.500  0.04
Na 0.500 0.500 0.500  0.00
Co 0.000 0.000 0.000  0.46
N 0.000 0.500 0.000  0.10
N 0.500 0.000 0.000  0.10

Calculated values
The total magnetization is 0.816 μB/f.u. Its total DFT energy (no corrections) is -4.493 eV per atom. As for the formation energy from raw total energies: 0.83 eV per atom. The value obtained for the density of states at the Fermi level is 0.62 states/eV per atom.


[5]
Here is crystalline NbCoI2N at its relaxed geometry from Alexandria. Energies are from PBE.

a b c (Å): 5.399 5.399 3.462
angles (deg): 90.00 90.00 90.00
Each line ends with the local moment (μB).
Sites, in units of the cell vectors:
N 0.000 0.000 0.500  -0.07
I 0.000 0.500 0.000  -0.06
I 0.500 0.000 0.000  -0.06
Co 0.000 0.000 0.000  0.04
Nb 0.500 0.500 0.500  2.07

Calculated values
The total magnetization is 2.475 μB/f.u. Its total DFT energy (no corrections) is -4.974 eV per atom. As for the formation energy from raw total energies: 0.75 eV per atom. The value obtained for the density of states at the Fermi level is 0.79 states/eV per atom.


[6]
Here is crystalline NbCoI2N at its relaxed geometry from Alexandria. Energies are from PBE.

a b c (Å): 5.722 5.722 3.908
angles (deg): 90.00 90.00 90.00
Each line ends with the local moment (μB).
Sites, in units of the cell vectors:
N 0.000 0.000 0.500  -0.08
I 0.500 0.000 0.000  0.03
I 0.000 0.500 0.000  0.03
Nb 0.000 0.000 0.000  0.68
Co 0.500 0.500 0.500  2.17

Calculated values
The total magnetization is 3.095 μB/f.u. Its total DFT energy (no corrections) is -5.059 eV per atom. As for the formation energy from raw total energies: 0.66 eV per atom. The value obtained for the density of states at the Fermi level is 1.56 states/eV per atom.